Crystalline KSrMn2 at its relaxed geometry. Source: Alexandria via LeMat-Bulk, functional GGA-PBE.

Calculated values
DOS(E_F) in states/eV/cell: 5.35
SG: R-3m, No. 166
Energy of formation from the pure elements in meV/atom: 1029

POSCAR file:
```
KSrMn2
1.0
1.854 1.070 11.166
-1.854 1.070 11.166
0.000 -2.140 11.166
K Sr Mn
1 1 2
Direct
0.000 0.000 0.000
0.500 0.500 0.500
0.244 0.244 0.244
0.756 0.756 0.756
```


Crystalline KSrMn2 at its relaxed geometry. Source: Alexandria via LeMat-Bulk, functional GGA-PBE.

Calculated values
DOS(E_F) in states/eV/cell: 4.77
SG: Fm-3m, No. 225
Energy of formation from the pure elements in meV/atom: 961

POSCAR file:
```
KSrMn2
1.0
0.000 4.007 4.007
4.007 0.000 4.007
4.007 4.007 0.000
K Sr Mn
1 1 2
Direct
0.000 0.000 0.000
0.500 0.500 0.500
0.250 0.250 0.250
0.750 0.750 0.750
```


| no. | total moment (μB per formula unit) | total energy (eV/atom) |
| --- | --- | --- |
| 1 | 8.32 | -4.25 |
| 2 | 8.06 | -4.32 |